First-principles (PBE) data for Mn2HgIr after structural relaxation, as listed in Alexandria via LeMat-Bulk.

Computed properties:
Its crystal system is tetragonal.

Cell lengths 7.240, 7.240, 5.811 Å; angles 51.47, 51.47, 90.00 degrees
Sites, in units of the cell vectors:
Hg (0.750, 0.250, 0.500)
Hg (0.000, 0.000, 0.000)
Mn (0.875, 0.848, 0.750)
Mn (0.375, 0.402, 0.750)
Mn (0.152, 0.625, 0.250)
Mn (0.598, 0.125, 0.250)
Ir (0.250, 0.750, 0.500)
Ir (0.500, 0.500, 0.000)

=====

First-principles (PBE) data for MnHgIr2 after structural relaxation, as listed in Alexandria via LeMat-Bulk.

Computed properties:
Its crystal system is tetragonal.

Cell lengths 4.778, 4.778, 4.778 Å; angles 130.08, 130.08, 73.28 degrees
Sites, in units of the cell vectors:
Mn (0.250, 0.750, 0.500)
Hg (0.750, 0.250, 0.500)
Ir (0.500, 0.500, 0.000)
Ir (0.000, 0.000, 0.000)

=====

First-principles (PBE) data for Mn2HgIr after structural relaxation, as listed in Alexandria via LeMat-Bulk.

Computed properties:
Its crystal system is orthorhombic.

Cell lengths 2.808, 2.808, 9.114 Å; angles 90.00, 90.00, 115.51 degrees
Sites, in units of the cell vectors:
Mn (0.500, 0.500, 0.231)
Mn (0.000, 0.000, 0.996)
Hg (0.000, 0.000, 0.497)
Ir (0.500, 0.500, 0.776)

=====

First-principles (PBE) data for Mn2HgIr after structural relaxation, as listed in Alexandria via LeMat-Bulk.

Computed properties:
Its crystal system is trigonal.

Cell lengths 8.899, 8.899, 8.899 Å; angles 19.03, 19.03, 19.03 degrees
Sites, in units of the cell vectors:
Hg (0.250, 0.250, 0.250)
Mn (0.007, 0.007, 0.007)
Mn (0.493, 0.493, 0.493)
Ir (0.750, 0.750, 0.750)

=====

First-principles (PBE) data for MnHgIr after structural relaxation, as listed in Alexandria via LeMat-Bulk.

Computed properties:
Its crystal system is tetragonal. The calculation puts the energy relative to the lowest polymorph listed for this composition at 0 meV per atom.

Cell lengths 5.992, 5.992, 2.973 Å; angles 75.64, 75.64, 28.73 degrees
Sites, in units of the cell vectors:
Mn (0.683, 0.683, 0.317)
Hg (0.001, 0.001, 0.999)
Ir (0.316, 0.316, 0.684)

=====

First-principles (PBE) data for MnHgIr after structural relaxation, as listed in Alexandria via LeMat-Bulk.

Computed properties:
Its crystal system is cubic. The calculation puts the energy relative to the lowest polymorph listed for this composition at 304 meV per atom.

Cell lengths 4.402, 4.402, 4.402 Å; angles 60.00, 60.00, 60.00 degrees
Sites, in units of the cell vectors:
Hg (0.500, 0.500, 0.500)
Mn (0.000, 0.000, 0.000)
Ir (0.750, 0.750, 0.750)

=====

First-principles (PBE) data for MnHgIr2 after structural relaxation, as listed in Alexandria via LeMat-Bulk.

Computed properties:
Its crystal system is orthorhombic.

Cell lengths 2.920, 4.782, 4.609 Å; angles 90.00, 90.00, 90.00 degrees
Sites, in units of the cell vectors:
Ir (0.000, 0.000, 0.000)
Ir (0.500, 0.500, 0.000)
Hg (0.000, 0.500, 0.500)
Mn (0.500, 0.000, 0.500)

=====

First-principles (PBE) data for MnHgIr2 after structural relaxation, as listed in Alexandria via LeMat-Bulk.

Computed properties:
Its crystal system is monoclinic.

Cell lengths 4.298, 2.849, 5.436 Å; angles 74.44, 90.00, 90.00 degrees
Sites, in units of the cell vectors:
Ir (0.000, 0.400, 0.475)
Ir (0.000, 0.100, 0.025)
Hg (0.500, 0.750, 0.750)
Mn (0.500, 0.250, 0.250)

=====

no.,formation energy from the elements (meV/atom),magnetization (μB per cell)
1,553,17.06
2,290,2.82
3,436,7.21
4,254,7.60
5,201,3.69
6,505,4.23
7,385,4.41
8,289,4.09